Entry 1:
Sm4DyMg5 | PBE-GGA | relaxed

Geometry as POSCAR:
```
Sm4DyMg5
1.0
-1.526 0.014 3.513
2.690 -2.459 1.178
11.352 14.751 4.870
Sm Dy Mg
4 1 5
direct
0.000 0.000 0.197
0.000 0.000 0.399
0.000 0.000 0.601
0.000 0.000 0.803
0.000 0.000 0.000
0.500 0.500 0.097
0.500 0.500 0.298
0.500 0.500 0.500
0.500 0.500 0.702
0.500 0.500 0.903
```

Results
The value obtained for the density of states at the Fermi level is 1.274 states/eV/atom. The energy of formation from the pure elements is -0.96 eV per formula unit.

***

Entry 2:
SmDy3Mg2 | PBE-GGA | relaxed

Geometry as POSCAR:
```
SmDy3Mg2
1.0
3.675 0.000 0.000
0.000 3.675 0.000
0.000 0.000 12.920
Sm Dy Mg
1 3 2
direct
0.500 0.500 0.500
0.000 0.000 0.000
0.000 0.000 0.692
0.000 0.000 0.308
0.500 0.500 0.848
0.500 0.500 0.152
```

Results
The value obtained for the density of states at the Fermi level is 1.303 states/eV/atom. The energy of formation from the pure elements is -0.25 eV per formula unit.